Here is a relaxed structure of Y3HoCo from Alexandria via LeMat-Bulk. Energies are from PBE.

Results
space group: No. 31
energy of formation from the pure elements: -0.05 eV/atom
electronic total energy: -6.261 eV/atom
magnetic moment: 0.000 μB per formula unit

Cell lengths 7.4944, 6.3515, 6.0781 Å; angles 90.00, 90.00, 90.00 degrees
Fractional positions:
Y 0.0000 0.1555 0.0000
Y 0.2493 0.3242 0.4995
Y 0.2507 0.6758 0.9995
Y 0.5000 0.8445 0.5000
Y 0.7493 0.6758 0.9995
Y 0.7507 0.3242 0.4995
Ho 0.0000 0.8416 0.4988
Ho 0.5000 0.1584 0.9988
Co 0.0000 0.5021 0.2501
Co 0.5000 0.4979 0.7501

***

Here is a relaxed structure of CsPbAu10 from Alexandria via LeMat-Bulk. Energies are from PBE.

Results
space group: No. 47
energy of formation from the pure elements: -0.07 eV/atom
electronic total energy: -3.178 eV/atom
magnetic moment: 0.000 μB per formula unit

Cell lengths 4.5687, 5.9358, 10.0431 Å; angles 90.00, 90.00, 90.00 degrees
Fractional positions:
Cs 0.0000 0.0000 0.0000
Pb 0.0000 0.5000 0.5000
Au 0.0000 0.0000 0.3398
Au 0.0000 0.0000 0.6602
Au 0.0000 0.5000 0.1779
Au 0.0000 0.5000 0.8221
Au 0.5000 0.0000 0.5000
Au 0.5000 0.2596 0.2640
Au 0.5000 0.2596 0.7360
Au 0.5000 0.5000 0.0000
Au 0.5000 0.7404 0.2640
Au 0.5000 0.7404 0.7360

***

Here is a relaxed structure of BeGeSbW from Alexandria via LeMat-Bulk. Energies are from PBE.

Results
space group: No. 38
electronic total energy: -5.924 eV/atom
E_form (uncorrected): 41.54 kJ/mol of atoms
magnetic moment: 0.000 μB per formula unit

Cell lengths 2.8832, 6.5330, 6.5330 Å; angles 37.49, 90.00, 90.00 degrees
Fractional positions:
Be 0.0000 0.0000 0.0000
Ge 0.0000 0.6456 0.6456
Sb 0.0000 0.3781 0.3781
W 0.5000 0.1747 0.1747

***

Here is a relaxed structure of LaCoBr2 from Alexandria via LeMat-Bulk. Energies are from PBE.

Results
space group: No. 139
electronic total energy: -4.303 eV/atom
E_form (uncorrected): -44.19 kJ/mol of atoms
magnetic moment: 1.990 μB per formula unit

Cell lengths 5.4977, 5.4977, 5.4977 Å; angles 128.91, 128.91, 75.15 degrees
Fractional positions:
La 0.0000 0.0000 0.0000
Co 0.5000 0.5000 0.0000
Br 0.2500 0.7500 0.5000
Br 0.7500 0.2500 0.5000

***

Here is a relaxed structure of Y3Er2In2 from Alexandria via LeMat-Bulk. Energies are from PBE.

Results
space group: No. 65
energy of formation from the pure elements: -0.17 eV/atom
electronic total energy: -5.031 eV/atom
magnetic moment: 0.431 μB per formula unit

Cell lengths 11.9845, 11.9845, 3.4458 Å; angles 90.00, 90.00, 156.19 degrees
Fractional positions:
Y 0.0000 0.0000 0.0000
Y 0.1439 0.8561 0.0000
Y 0.8561 0.1439 0.0000
Er 0.2856 0.7144 0.5000
Er 0.7144 0.2856 0.5000
In 0.4282 0.5718 0.5000
In 0.5718 0.4282 0.5000

***

Here is a relaxed structure of RbCu2O from Alexandria via LeMat-Bulk. Energies are from PBE.

Results
space group: No. 141
electronic total energy: -3.774 eV/atom
E_form (uncorrected): -23.60 kJ/mol of atoms
magnetic moment: 0.000 μB per formula unit

Cell lengths 6.3297, 6.3297, 6.3297 Å; angles 120.10, 120.10, 89.82 degrees
Fractional positions:
Rb 0.3750 0.6250 0.7500
Rb 0.6250 0.3750 0.2500
Cu 0.0000 0.0000 0.0000
Cu 0.0000 0.0000 0.5000
Cu 0.0000 0.5000 0.0000
Cu 0.5000 0.0000 0.5000
O 0.1250 0.8750 0.2500
O 0.8750 0.1250 0.7500

***

Here is a relaxed structure of CrMoS2 from Alexandria via LeMat-Bulk. Energies are from PBE.

Results
space group: No. 166
electronic total energy: -7.328 eV/atom
E_form (uncorrected): -14.58 kJ/mol of atoms
magnetic moment: 3.552 μB per formula unit

Cell lengths 8.0662, 8.0662, 8.0662 Å; angles 22.74, 22.74, 22.74 degrees
Fractional positions:
Cr 0.0000 0.0000 0.0000
Mo 0.5000 0.5000 0.5000
S 0.0984 0.0984 0.0984
S 0.9016 0.9016 0.9016

***

Here is a relaxed structure of NbInGe3 from Alexandria via LeMat-Bulk. Energies are from PBE.

Results
space group: No. 221
energy of formation from the pure elements: 0.29 eV/atom
electronic total energy: -5.040 eV/atom
magnetic moment: 0.000 μB per formula unit

Cell lengths 5.0696, 5.0696, 5.0696 Å; angles 90.00, 90.00, 90.00 degrees
Fractional positions:
Nb 0.0000 0.0000 0.0000
In 0.5000 0.5000 0.5000
Ge 0.0000 0.0000 0.5000
Ge 0.0000 0.5000 0.0000
Ge 0.5000 0.0000 0.0000

***

Here is a relaxed structure of Ca4Al3Ag from Alexandria via LeMat-Bulk. Energies are from PBE.

Results
space group: No. 25
energy of formation from the pure elements: -0.24 eV/atom
electronic total energy: -2.997 eV/atom
magnetic moment: 0.000 μB per formula unit

Cell lengths 4.1031, 4.5653, 11.7850 Å; angles 90.00, 90.00, 90.00 degrees
Fractional positions:
Ca 0.0000 0.0000 0.0000
Ca 0.0000 0.5000 0.2962
Ca 0.5000 0.0000 0.4978
Ca 0.5000 0.5000 0.7981
Al 0.0000 0.0000 0.7117
Al 0.0000 0.5000 0.5836
Al 0.5000 0.5000 0.0850
Ag 0.5000 0.0000 0.2077

***

Here is a relaxed structure of AlNi2Ag from Alexandria via LeMat-Bulk. Energies are from PBE.

Results
space group: No. 160
energy of formation from the pure elements: 0.02 eV/atom
electronic total energy: -4.518 eV/atom
magnetic moment: 0.001 μB per formula unit

Cell lengths 8.5302, 8.5302, 8.5302 Å; angles 18.49, 18.49, 18.49 degrees
Fractional positions:
Al 0.0000 0.0000 0.0000
Ni 0.4841 0.4841 0.4841
Ni 0.7403 0.7403 0.7403
Ag 0.2397 0.2397 0.2397

***

Here is a relaxed structure of TaTi3Nb2 from Alexandria via LeMat-Bulk. Energies are from PBE.

Results
space group: No. 12
energy of formation from the pure elements: 0.20 eV/atom
electronic total energy: -9.077 eV/atom
magnetic moment: 0.000 μB per formula unit

Cell lengths 7.6889, 7.6889, 6.5419 Å; angles 94.99, 94.99, 34.90 degrees
Fractional positions:
Ta 0.1543 0.1543 0.2573
Ta 0.8457 0.8457 0.7427
Ti 0.0562 0.0562 0.8020
Ti 0.3196 0.3196 0.0596
Ti 0.3848 0.3848 0.4446
Ti 0.6152 0.6152 0.5554
Ti 0.6804 0.6804 0.9404
Ti 0.9438 0.9438 0.1980
Nb 0.2312 0.2312 0.6750
Nb 0.4594 0.4594 0.8171
Nb 0.5406 0.5406 0.1829
Nb 0.7688 0.7688 0.3250

***

Here is a relaxed structure of Pm2CuHgO5 from Alexandria via LeMat-Bulk. Energies are from PBE.

Results
space group: No. 127
electronic total energy: -6.235 eV/atom
E_form (uncorrected): -186.85 kJ/mol of atoms
magnetic moment: 0.000 μB per formula unit

Cell lengths 6.8429, 6.8429, 5.5166 Å; angles 90.00, 90.00, 90.00 degrees
Fractional positions:
Pm 0.1766 0.3234 0.0000
Pm 0.3234 0.8234 0.0000
Pm 0.6766 0.1766 0.0000
Pm 0.8234 0.6766 0.0000
Cu 0.0000 0.5000 0.5000
Cu 0.5000 0.0000 0.5000
Hg 0.0000 0.0000 0.5000
Hg 0.5000 0.5000 0.5000
O 0.0000 0.0000 0.0000
O 0.1280 0.6280 0.2508
O 0.1280 0.6280 0.7492
O 0.3720 0.1280 0.2508
O 0.3720 0.1280 0.7492
O 0.5000 0.5000 0.0000
O 0.6280 0.8720 0.2508
O 0.6280 0.8720 0.7492
O 0.8720 0.3720 0.2508
O 0.8720 0.3720 0.7492

***

Here is a relaxed structure of InRe2Os from Alexandria via LeMat-Bulk. Energies are from PBE.

Results
space group: No. 25
energy of formation from the pure elements: 0.45 eV/atom
electronic total energy: -9.267 eV/atom
magnetic moment: 0.000 μB per formula unit

Cell lengths 2.8896, 4.4679, 4.9652 Å; angles 90.00, 90.00, 90.00 degrees
Fractional positions:
In 0.0000 0.0000 0.0000
Re 0.5000 0.0000 0.4924
Re 0.5000 0.5000 0.2143
Os 0.0000 0.5000 0.6792

***

Here is a relaxed structure of SrSi2SbN from Alexandria via LeMat-Bulk. Energies are from PBE.

Results
space group: No. 123
electronic total energy: -4.556 eV/atom
E_form (uncorrected): 42.33 kJ/mol of atoms
magnetic moment: 0.000 μB per formula unit

Cell lengths 4.4598, 4.4598, 4.9269 Å; angles 90.00, 90.00, 90.00 degrees
Fractional positions:
Sr 0.0000 0.0000 0.0000
Si 0.0000 0.5000 0.5000
Si 0.5000 0.0000 0.5000
Sb 0.5000 0.5000 0.0000
N 0.5000 0.5000 0.5000

***

Here is a relaxed structure of Tb3Pm8Er4 from Alexandria via LeMat-Bulk. Energies are from PBE.

Results
space group: No. 12
energy of formation from the pure elements: 0.35 eV/atom
electronic total energy: -4.331 eV/atom
magnetic moment: 0.000 μB per formula unit

Cell lengths 9.1590, 9.1590, 6.8536 Å; angles 110.50, 110.50, 83.18 degrees
Fractional positions:
Tb 0.0000 0.0000 0.0000
Tb 0.0000 0.5000 0.5000
Tb 0.5000 0.0000 0.5000
Pm 0.2034 0.2034 0.6733
Pm 0.2047 0.7953 0.5000
Pm 0.2533 0.7467 0.0000
Pm 0.2558 0.2558 0.2093
Pm 0.7442 0.7442 0.7907
Pm 0.7467 0.2533 0.0000
Pm 0.7953 0.2047 0.5000
Pm 0.7966 0.7966 0.3267
Er 0.0000 0.5000 0.0000
Er 0.5000 0.0000 0.0000
Er 0.5000 0.5000 0.0000
Er 0.5000 0.5000 0.5000

***

Here is a relaxed structure of Sc2CuSi from Alexandria via LeMat-Bulk. Energies are from PBE.

Results
space group: No. 12
electronic total energy: -5.759 eV/atom
E_form (uncorrected): -20.58 kJ/mol of atoms
magnetic moment: 0.000 μB per formula unit

Cell lengths 4.1189, 4.1189, 6.4739 Å; angles 100.91, 100.91, 46.59 degrees
Fractional positions:
Sc 0.2466 0.2466 0.2483
Sc 0.7534 0.7534 0.7517
Cu 0.0000 0.0000 0.5000
Si 0.5000 0.5000 0.0000

***

Here is a relaxed structure of IrPbBr from Alexandria via LeMat-Bulk. Energies are from PBE.

Results
space group: No. 216
electronic total energy: -4.368 eV/atom
E_form (uncorrected): 36.58 kJ/mol of atoms
magnetic moment: 0.000 μB per formula unit

Cell lengths 4.6641, 4.6641, 4.6641 Å; angles 60.00, 60.00, 60.00 degrees
Fractional positions:
Ir 0.0000 0.0000 0.0000
Pb 0.2500 0.2500 0.2500
Br 0.7500 0.7500 0.7500

***

D(E_F) across the listed records, respectively: 14.2 4.0 2.3 5.3 6.4 0.7 3.7 3.8 5.3 2.7 14.9 5.3 3.1 1.6 23.1 3.6 0.8 states/eV per cell.